DFT (GGA+U) results for an optimized crystal structure of Y2UNiO8.

## Properties
Volume, Å³/cell: 171
Fermi-level density of states, states/eV/f.u.: 3.5
Calculated total energy, eV per atom: -8.07

a = 5.0181 Å, b = 5.0211 Å, c = 6.8873 Å
α = 84.26°, β = 84.30°, γ = 86.00°
Space group P-1 (No. 2)
Symmetry-distinct sites (fractional):
Y  0.0302  0.0298  0.2370 [2 per cell]
U  0.5000  0.5000  0.5000 [1 per cell]
Ni  0.5000  0.5000  0.0000 [1 per cell]
O  0.1986  0.7986  0.5003 [2 per cell]
O  0.2250  0.7738  0.0001 [2 per cell]
O  0.2949  0.2922  0.7131 [2 per cell]
O  0.3392  0.3378  0.2351 [2 per cell]